1.
# AgOsClO4

A geometry-optimized AgOsClO4 structure (PBE, Alexandria via LeMat-Bulk).

Calculated values
As for the uncorrected formation energy: -752 meV per atom. The value obtained for the total energy is -82.0 eV/cell.

Cell: 6.7884 6.7884 8.2284 Å, 114.27 114.27 73.08°
With the nearest neighbours (Å) after each atom.
Positions (direct):
1 Ag 0.1668 0.1668 0.1489  1 O 2.29, 1 Cl 2.47
2 Ag 0.8332 0.8332 0.8511  1 O 2.29, 1 Cl 2.47
3 Os 0.3748 0.3748 0.6875  4 O 1.73-1.74
4 Os 0.6252 0.6252 0.3125  4 O 1.73-1.74
5 Cl 0.0490 0.0490 0.8009  2 Ag 2.47-2.59
6 Cl 0.9510 0.9510 0.1991  2 Ag 2.47-2.59
7 O 0.1236 0.4731 0.7192  1 Os 1.73
8 O 0.3469 0.3469 0.4592  1 Os 1.74
9 O 0.4437 0.4437 0.1499  1 Os 1.73
10 O 0.4731 0.1236 0.7192  1 Os 1.73
11 O 0.5269 0.8764 0.2808  1 Os 1.73
12 O 0.5563 0.5563 0.8501  1 Os 1.73
13 O 0.6531 0.6531 0.5408  1 Os 1.74
14 O 0.8764 0.5269 0.2808  1 Os 1.73

2.
# B5C

A geometry-optimized B5C structure (PBE, Alexandria via LeMat-Bulk).

Calculated values
As for the energy above the most stable polymorph in this dataset: 0.1890 eV per atom. The value obtained for the total energy is -80.6 eV/cell.

Cell: 7.3812 7.3812 4.8880 Å, 107.00 107.00 21.94°
With the nearest neighbours (Å) after each atom.
Positions (direct):
1 B 0.0074 0.0074 0.1949  2 C 1.64, 2 B 1.83
2 B 0.1132 0.1132 0.0642  5 B 1.65-1.83
3 B 0.2067 0.2067 0.9358  4 B 1.65-1.81
4 B 0.3081 0.3081 0.8462  4 B 1.61-1.78
5 B 0.3786 0.3786 0.6475  1 C 1.52, 1 B 1.61
6 B 0.6214 0.6214 0.3525  1 C 1.52, 1 B 1.61
7 B 0.6919 0.6919 0.1538  4 B 1.61-1.78
8 B 0.7933 0.7933 0.0642  4 B 1.65-1.81
9 B 0.8868 0.8868 0.9358  5 B 1.65-1.83
10 B 0.9926 0.9926 0.8051  2 C 1.64, 2 B 1.83
11 C 0.4811 0.4811 0.6247  1 C 1.48, 3 B 1.52-1.64
12 C 0.5189 0.5189 0.3753  1 C 1.48, 3 B 1.52-1.64

3.
# Cs2LiPtF6

A geometry-optimized Cs2LiPtF6 structure (PBE, Alexandria via LeMat-Bulk).

Calculated values
As for the energy above the most stable polymorph in this dataset: 0.0115 eV per atom. As for the uncorrected formation energy: -2186 meV per atom. The value obtained for the total energy is -42.8 eV/cell.

Cell: 6.3139 6.3139 6.3139 Å, 122.32 122.32 86.02°
With the nearest neighbours (Å) after each atom.
Positions (direct):
1 Cs 0.2500 0.7500 0.5000  12 F 3.06-3.16
2 Cs 0.7500 0.2500 0.5000  12 F 3.06-3.16
3 Li 0.0000 0.0000 0.0000  4 F 2.12
4 Pt 0.5000 0.5000 0.0000  6 F 2.00-2.19
5 F 0.2462 0.2462 0.4923  1 Li 2.12, 1 Pt 2.19
6 F 0.2462 0.7538 0.0000  1 Li 2.12, 1 Pt 2.19
7 F 0.2839 0.2839 0.0000  1 Pt 2.00
8 F 0.7161 0.7161 0.0000  1 Pt 2.00
9 F 0.7538 0.2462 0.0000  1 Li 2.12, 1 Pt 2.19
10 F 0.7538 0.7538 0.5077  1 Li 2.12, 1 Pt 2.19

4.
# La2InAu9

A geometry-optimized La2InAu9 structure (PBE, Alexandria via LeMat-Bulk).

Calculated values
The value obtained for the total energy is -46.4 eV/cell.

Cell: 9.7547 9.7547 9.7547 Å, 34.48 34.48 34.48°
With the nearest neighbours (Å) after each atom.
Positions (direct):
1 La 0.1363 0.1363 0.1363  12 Au 3.22-3.49
2 La 0.8637 0.8637 0.8637  12 Au 3.22-3.49
3 In 0.0000 0.0000 0.0000  18 Au 3.34-3.72
4 Au 0.0789 0.5878 0.5878  7 Au 2.82-2.94
5 Au 0.3336 0.3336 0.3336  6 Au 2.86-2.88
6 Au 0.4122 0.4122 0.9211  7 Au 2.82-2.94
7 Au 0.4122 0.9211 0.4122  7 Au 2.82-2.94
8 Au 0.5000 0.5000 0.5000  6 Au 2.82
9 Au 0.5878 0.0789 0.5878  7 Au 2.82-2.94
10 Au 0.5878 0.5878 0.0789  7 Au 2.82-2.94
11 Au 0.6664 0.6664 0.6664  6 Au 2.86-2.88
12 Au 0.9211 0.4122 0.4122  7 Au 2.82-2.94

5.
# Pm4Nd15Er

A geometry-optimized Pm4Nd15Er structure (PBE, Alexandria via LeMat-Bulk).

Calculated values
The value obtained for the total energy is -94.8 eV/cell.

Cell: 5.1901 5.1901 25.8830 Å, 90.00 90.00 90.00°
With the nearest neighbours (Å) after each atom.
Positions (direct):
1 Pm 0.0000 0.0000 0.1004  12 Nd 3.67
2 Pm 0.0000 0.0000 0.3012  12 Nd 3.67
3 Pm 0.0000 0.0000 0.6988  12 Nd 3.67
4 Pm 0.0000 0.0000 0.8996  12 Nd 3.67
5 Nd 0.0000 0.5000 0.0000  8 Nd 3.67, 4 Pm 3.67
6 Nd 0.0000 0.5000 0.2008  8 Nd 3.67-3.68, 4 Pm 3.67
7 Nd 0.0000 0.5000 0.4015  8 Nd 3.64-3.67, 2 Er 3.64, 2 Pm 3.67
8 Nd 0.0000 0.5000 0.5985  8 Nd 3.64-3.67, 2 Er 3.64, 2 Pm 3.67
9 Nd 0.0000 0.5000 0.7992  8 Nd 3.67-3.68, 4 Pm 3.67
10 Nd 0.5000 0.0000 0.0000  8 Nd 3.67, 4 Pm 3.67
11 Nd 0.5000 0.0000 0.2008  8 Nd 3.67-3.68, 4 Pm 3.67
12 Nd 0.5000 0.0000 0.4015  8 Nd 3.64-3.67, 2 Er 3.64, 2 Pm 3.67
13 Nd 0.5000 0.0000 0.5985  8 Nd 3.64-3.67, 2 Er 3.64, 2 Pm 3.67
14 Nd 0.5000 0.0000 0.7992  8 Nd 3.67-3.68, 4 Pm 3.67
15 Nd 0.5000 0.5000 0.1003  4 Pm 3.67, 8 Nd 3.67
16 Nd 0.5000 0.5000 0.3014  8 Nd 3.67-3.68, 4 Pm 3.67
17 Nd 0.5000 0.5000 0.5000  8 Nd 3.64, 4 Er 3.67
18 Nd 0.5000 0.5000 0.6986  8 Nd 3.67-3.68, 4 Pm 3.67
19 Nd 0.5000 0.5000 0.8997  4 Pm 3.67, 8 Nd 3.67
20 Er 0.0000 0.0000 0.5000  12 Nd 3.64-3.67

6.
# Y3Cd2Au

A geometry-optimized Y3Cd2Au structure (PBE, Alexandria via LeMat-Bulk).

Calculated values
As for the energy above the most stable polymorph in this dataset: 0.0124 eV per atom. The value obtained for the total energy is -27.6 eV/cell.

Cell: 5.2219 5.2219 6.4218 Å, 90.00 90.00 120.00°
With the nearest neighbours (Å) after each atom.
Positions (direct):
1 Y 0.0000 0.0000 0.0000  6 Cd 3.16, 2 Au 3.21
2 Y 0.3333 0.6667 0.6501  3 Au 3.17, 5 Cd 3.19-3.28
3 Y 0.6667 0.3333 0.3499  3 Au 3.17, 5 Cd 3.19-3.28
4 Cd 0.3333 0.6667 0.1470  8 Y 3.16-3.28
5 Cd 0.6667 0.3333 0.8530  8 Y 3.16-3.28
6 Au 0.0000 0.0000 0.5000  8 Y 3.17-3.21

7.
# Re2SbIrPb

A geometry-optimized Re2SbIrPb structure (PBE, Alexandria via LeMat-Bulk).

Calculated values
As for the uncorrected formation energy: 3252 meV per atom. The value obtained for the total energy is -25.3 eV/cell.

Cell: 4.9481 4.9481 5.3526 Å, 90.00 90.00 90.00°
With the nearest neighbours (Å) after each atom.
Positions (direct):
1 Re 0.0000 0.5000 0.0000  2 Pb 2.47
2 Re 0.5000 0.0000 0.0000  2 Pb 2.47
3 Sb 0.0000 0.0000 0.5000  2 Pb 2.68
4 Ir 0.5000 0.5000 0.5000  4 Sb 3.50, 8 Re 3.64
5 Pb 0.0000 0.0000 0.0000  4 Re 2.47, 2 Sb 2.68

8.
# La3CoSn

A geometry-optimized La3CoSn structure (PBE, Alexandria via LeMat-Bulk).

Calculated values
As for the energy above the most stable polymorph in this dataset: 0.1121 eV per atom. The value obtained for the total energy is -55.1 eV/cell.

Cell: 8.7015 4.4639 7.7068 Å, 90.00 90.00 90.00°
With the nearest neighbours (Å) after each atom.
Positions (direct):
1 La 0.0303 0.0000 0.2244  1 Co 2.47
2 La 0.2500 0.5000 0.5609  2 Co 3.04, 1 Sn 3.37
3 La 0.4697 0.0000 0.2244  1 Co 2.47
4 La 0.5303 0.0000 0.7756  1 Co 2.47
5 La 0.7500 0.5000 0.4390  2 Co 3.04, 1 Sn 3.37
6 La 0.9697 0.0000 0.7756  1 Co 2.47
7 Co 0.2500 0.0000 0.8293  2 La 2.47, 2 Sn 2.58
8 Co 0.7500 0.0000 0.1707  2 La 2.47, 2 Sn 2.58
9 Sn 0.2500 0.5000 0.9983  2 Co 2.58
10 Sn 0.7500 0.5000 0.0017  2 Co 2.58